[1]
A plane-wave DFT calculation with SCAN was carried out for K2CaPtF at its PBEsol-relaxed geometry.

POSCAR file:
```
K2CaPtF
1.0
-2.795 -0.804 2.853
2.500 -5.897 0.787
3.974 2.291 4.539
Pt K Ca F
1 2 1 1
Cartesian
1.840 -2.205 4.090
1.987 1.146 2.269
1.250 -2.948 0.394
0.000 0.000 0.000
-1.398 -0.402 1.427
```

Values from the calculation:
D(E_F) in states/eV/atom: 0.445
Total energy in eV/atom: -20.4708
SG: No. 123
Mass density in g cm⁻³: 3.25

[2]
A plane-wave DFT calculation with SCAN was carried out for PtWS2N at its PBEsol-relaxed geometry.

POSCAR file:
```
PtWS2N
1.0
3.728 0.000 0.000
0.000 4.706 0.000
0.000 0.000 4.706
S Pt N W
2 1 1 1
Cartesian
0.000 2.353 0.000
0.000 0.000 2.353
1.864 2.353 2.353
1.864 0.000 0.000
0.000 0.000 0.000
```

Values from the calculation:
D(E_F) in states/eV/atom: 0.736
Total energy in eV/atom: -33.0446
SG: No. 123
Mass density in g cm⁻³: 9.19

[3]
A plane-wave DFT calculation with SCAN was carried out for SiAg5 at its PBEsol-relaxed geometry.

POSCAR file:
```
SiAg5
1.0
5.319 0.000 0.000
2.660 4.607 0.000
2.660 1.536 4.343
Si Ag
1 5
Cartesian
0.000 0.000 0.000
5.319 3.071 0.543
3.989 3.839 2.714
6.649 3.839 2.714
5.319 1.535 2.714
2.660 1.536 1.086
```

Values from the calculation:
D(E_F) in states/eV/atom: 0.449
Total energy in eV/atom: -27.3939
SG: No. 216
Mass density in g cm⁻³: 8.85

[4]
A plane-wave DFT calculation with SCAN was carried out for RbS2N at its PBEsol-relaxed geometry.

POSCAR file:
```
RbS2N
1.0
5.538 0.000 0.000
0.000 5.538 0.000
-2.769 -2.769 5.498
S Rb N
4 2 2
Cartesian
-1.384 0.000 4.124
1.384 0.000 4.124
2.769 1.384 1.375
2.769 4.153 1.375
0.000 2.769 2.749
0.000 0.000 0.000
2.769 2.769 0.000
2.769 0.000 2.749
```

Values from the calculation:
D(E_F) in states/eV/atom: 0.305
Total energy in eV/atom: -12.0457
SG: No. 141
Mass density in g cm⁻³: 3.22

[5]
A plane-wave DFT calculation with SCAN was carried out for CuSe8 at its PBEsol-relaxed geometry.

POSCAR file:
```
CuSe8
1.0
3.674 0.000 0.000
1.837 8.138 0.000
1.837 0.000 8.138
Se Cu
8 1
Cartesian
3.674 5.213 0.000
1.837 6.481 1.658
1.837 2.925 0.000
1.837 0.000 2.925
3.674 1.658 1.658
1.837 1.658 6.481
3.674 0.000 5.213
3.674 6.481 6.481
0.000 0.000 0.000
```

Values from the calculation:
D(E_F) in states/eV/atom: 0.370
Total energy in eV/atom: -19.2311
SG: No. 139
Mass density in g cm⁻³: 4.74

[6]
A plane-wave DFT calculation with SCAN was carried out for FeMo at its PBEsol-relaxed geometry.

POSCAR file:
```
FeMo
1.0
-0.195 -2.060 -1.661
2.154 0.275 1.525
-1.838 -2.246 3.001
Fe Mo
1 1
Cartesian
0.000 0.000 0.000
-0.331 -2.404 0.902
```

Values from the calculation:
D(E_F) in states/eV/atom: 0.985
Total energy in eV/atom: -25.9470
ΔH_f (0 K) in eV per atom: 0.560
SG: No. 187
Mass density in g cm⁻³: 9.90

[7]
A plane-wave DFT calculation with SCAN was carried out for TaBiIr2Pb at its PBEsol-relaxed geometry.

POSCAR file:
```
TaBiIr2Pb
1.0
4.817 0.000 0.000
0.000 4.817 0.000
0.000 0.000 5.365
Ir Pb Ta Bi
2 1 1 1
Cartesian
2.409 0.000 0.000
0.000 2.409 0.000
2.409 2.409 2.682
0.000 0.000 0.000
0.000 0.000 2.682
```

Values from the calculation:
D(E_F) in states/eV/atom: 0.549
Total energy in eV/atom: -71.5539
ΔH_f (0 K) in eV per atom: 1.075
SG: No. 123
Mass density in g cm⁻³: 13.09

[8]
A plane-wave DFT calculation with SCAN was carried out for LiCaNi4 at its PBEsol-relaxed geometry.

POSCAR file:
```
LiCaNi4
1.0
4.826 0.000 0.000
2.413 4.180 0.000
2.413 1.393 3.941
Ni Ca Li
4 1 1
Cartesian
4.826 4.186 1.475
4.826 2.786 3.455
3.614 2.087 1.475
6.038 2.087 1.475
7.239 4.180 2.955
0.000 0.000 0.000
```

Values from the calculation:
D(E_F) in states/eV/atom: 0.629
Total energy in eV/atom: -12.8747
ΔH_f (0 K) in eV per atom: -0.084
SG: No. 216
Mass density in g cm⁻³: 5.89

[9]
A plane-wave DFT calculation with SCAN was carried out for K2NaCd2 at its PBEsol-relaxed geometry.

POSCAR file:
```
K2NaCd2
1.0
-0.953 1.014 5.126
-7.960 -2.537 -0.977
2.262 -7.857 1.975
Na Cd K
2 4 4
Cartesian
0.000 0.000 0.000
-2.849 -5.197 0.499
-4.670 -2.527 -0.368
-5.592 -7.110 0.368
-0.107 -3.285 0.630
-1.028 -7.868 1.366
-6.303 -4.130 2.398
-2.658 -1.697 2.594
-0.348 -5.250 3.726
-3.993 -7.683 3.530
```

Values from the calculation:
D(E_F) in states/eV/atom: 0.448
Total energy in eV/atom: -16.3833
ΔH_f (0 K) in eV per atom: -0.043
SG: No. 127
Mass density in g cm⁻³: 2.88

[10]
A plane-wave DFT calculation with SCAN was carried out for TaTeRh2 at its PBEsol-relaxed geometry.

POSCAR file:
```
TaTeRh2
1.0
4.506 0.000 0.000
2.253 3.902 0.000
2.253 1.301 3.679
Te Rh Ta
1 2 1
Cartesian
2.253 1.301 0.920
0.000 0.000 0.000
6.759 3.902 2.759
4.506 2.602 1.840
```

Values from the calculation:
D(E_F) in states/eV/atom: 0.536
Total energy in eV/atom: -42.8919
SG: No. 216
Mass density in g cm⁻³: 13.20

[11]
A plane-wave DFT calculation with SCAN was carried out for Bi2MoW at its PBEsol-relaxed geometry.

POSCAR file:
```
Bi2MoW
1.0
4.796 0.000 0.000
2.398 4.154 0.000
2.398 1.385 3.916
W Bi Mo
1 2 1
Cartesian
4.796 2.769 1.958
2.398 1.385 0.979
7.194 4.154 2.937
0.000 0.000 0.000
```

Values from the calculation:
D(E_F) in states/eV/atom: 1.261
Total energy in eV/atom: -64.3332
ΔH_f (0 K) in eV per atom: 1.100
SG: No. 225
Mass density in g cm⁻³: 14.85

[12]
A plane-wave DFT calculation with SCAN was carried out for DySiRh at its PBEsol-relaxed geometry.

POSCAR file:
```
DySiRh
1.0
4.213 0.000 0.000
0.000 6.840 0.000
0.000 0.000 7.239
Dy Rh Si
4 4 4
Cartesian
3.160 3.445 5.880
3.160 0.025 4.978
1.053 3.395 1.358
1.053 6.815 2.261
1.053 4.467 4.127
1.053 1.048 6.731
3.160 5.792 0.508
3.160 2.372 3.112
3.160 4.807 2.857
3.160 1.387 0.762
1.053 5.453 6.476
1.053 2.033 4.381
```

Values from the calculation:
D(E_F) in states/eV/atom: 0.471
Total energy in eV/atom: -31.6874
SG: No. 62
Mass density in g cm⁻³: 9.35

[13]
A plane-wave DFT calculation with SCAN was carried out for Mg2CrPW at its PBEsol-relaxed geometry.

POSCAR file:
```
Mg2CrPW
1.0
4.277 0.000 0.000
0.000 4.893 0.000
0.000 0.000 4.893
Mg Cr W P
2 1 1 1
Cartesian
0.000 0.000 2.447
0.000 2.447 0.000
0.000 0.000 0.000
2.139 0.000 0.000
2.139 2.447 2.447
```

Values from the calculation:
D(E_F) in states/eV/atom: 0.722
Total energy in eV/atom: -20.3679
ΔH_f (0 K) in eV per atom: 1.316
SG: No. 123
Mass density in g cm⁻³: 5.11

[14]
A plane-wave DFT calculation with SCAN was carried out for Cd2FeHg at its PBEsol-relaxed geometry.

POSCAR file:
```
Cd2FeHg
1.0
-1.793 -1.537 -1.622
4.690 -2.252 -1.470
-1.878 -1.264 5.014
Cd Fe Hg
2 1 1
Cartesian
0.509 -2.526 0.961
-0.939 -0.632 2.507
-0.897 -0.768 -0.811
2.345 -1.126 -0.735
```

Values from the calculation:
D(E_F) in states/eV/atom: 0.396
Total energy in eV/atom: -36.5176
ΔH_f (0 K) in eV per atom: 0.263
SG: No. 12
Mass density in g cm⁻³: 11.11

[15]
A plane-wave DFT calculation with SCAN was carried out for TbMnSi at its PBEsol-relaxed geometry.

POSCAR file:
```
TbMnSi
1.0
3.900 0.000 0.000
0.000 3.900 0.000
0.000 0.000 6.980
Tb Si Mn
2 2 2
Cartesian
0.000 1.950 1.187
1.950 0.000 5.793
0.000 1.950 4.884
1.950 0.000 2.096
1.950 1.950 3.490
0.000 0.000 3.490
```

Values from the calculation:
D(E_F) in states/eV/atom: 0.597
Total energy in eV/atom: -25.6587
SG: No. 129
Mass density in g cm⁻³: 7.57

[16]
A plane-wave DFT calculation with SCAN was carried out for Li2Fe2Si2O7 at its PBEsol-relaxed geometry.

POSCAR file:
```
Li2Fe2Si2O7
1.0
-0.162 1.563 5.030
-3.612 -2.016 3.275
4.831 -5.571 2.067
O Si Fe Li
7 2 2 2
Cartesian
2.608 -3.849 6.089
3.716 -3.890 3.064
-2.658 -2.133 7.309
1.074 -4.212 8.933
2.415 -2.786 1.033
-0.016 -1.812 1.439
-1.551 -2.174 4.284
1.387 -1.602 0.617
-0.330 -4.422 9.755
-1.495 -1.482 6.011
2.552 -4.542 4.362
-0.349 -1.200 3.197
1.407 -4.824 7.175
```

Values from the calculation:
D(E_F) in states/eV/atom: 0.000
Total energy in eV/atom: -10.3532
SG: No. 2
Mass density in g cm⁻³: 2.65

[17]
A plane-wave DFT calculation with SCAN was carried out for Sc2CdAg at its PBEsol-relaxed geometry.

POSCAR file:
```
Sc2CdAg
1.0
3.396 0.000 0.000
0.000 3.396 0.000
0.000 0.000 6.985
Ag Sc Cd
1 2 1
Cartesian
1.698 1.698 0.000
0.000 0.000 1.663
0.000 0.000 5.322
1.698 1.698 3.493
```

Values from the calculation:
D(E_F) in states/eV/atom: 0.715
Total energy in eV/atom: -22.9609
ΔH_f (0 K) in eV per atom: -0.397
SG: No. 123
Mass density in g cm⁻³: 6.39

[18]
A plane-wave DFT calculation with SCAN was carried out for TlCr2IrRu at its PBEsol-relaxed geometry.

POSCAR file:
```
TlCr2IrRu
1.0
-3.555 -0.365 2.800
-1.409 -3.671 -2.268
2.553 -2.760 2.881
Ru Tl Cr Ir
1 1 2 1
Cartesian
0.000 0.000 0.000
-1.205 -3.398 1.707
-0.705 -1.836 -1.134
-1.777 -0.183 1.400
1.277 -1.380 1.441
```

Values from the calculation:
D(E_F) in states/eV/atom: 0.862
Total energy in eV/atom: -41.9504
ΔH_f (0 K) in eV per atom: 1.060
SG: No. 123
Mass density in g cm⁻³: 10.23

[19]
A plane-wave DFT calculation with SCAN was carried out for BaIn2Pt at its PBEsol-relaxed geometry.

POSCAR file:
```
BaIn2Pt
1.0
3.615 0.000 0.000
0.000 3.615 0.000
0.000 0.000 7.842
Ba Pt In
1 1 2
Cartesian
1.807 1.807 5.653
0.000 0.000 3.384
1.807 1.807 2.291
0.000 0.000 0.435
```

Values from the calculation:
D(E_F) in states/eV/atom: 0.609
Total energy in eV/atom: -44.5612
ΔH_f (0 K) in eV per atom: -0.432
SG: No. 99
Mass density in g cm⁻³: 9.11

[20]
A plane-wave DFT calculation with SCAN was carried out for CdFeSb2Mo at its PBEsol-relaxed geometry.

POSCAR file:
```
CdFeSb2Mo
1.0
-1.890 4.320 0.050
-4.736 -2.083 1.001
0.940 0.351 5.174
Sb Fe Mo Cd
2 1 1 1
Cartesian
0.470 0.175 2.587
-2.368 -1.042 0.501
-0.945 2.160 0.025
-2.843 1.294 3.113
0.000 0.000 0.000
```

Values from the calculation:
D(E_F) in states/eV/atom: 0.607
Total energy in eV/atom: -30.0464
SG: No. 123
Mass density in g cm⁻³: 6.44

[21]
A plane-wave DFT calculation with SCAN was carried out for Sr2Li2Ga at its PBEsol-relaxed geometry.

POSCAR file:
```
Sr2Li2Ga
1.0
-2.738 0.583 -2.677
2.676 -0.242 -2.789
-1.485 -10.027 2.136
Li Ga Sr
2 1 2
Cartesian
0.581 -5.049 -1.693
-2.126 -4.636 -1.638
0.000 0.000 0.000
-0.315 -1.680 -2.846
-1.231 -8.006 -0.485
```

Values from the calculation:
D(E_F) in states/eV/atom: 0.594
Total energy in eV/atom: -13.2498
ΔH_f (0 K) in eV per atom: -0.114
SG: No. 139
Mass density in g cm⁻³: 2.87

[22]
A plane-wave DFT calculation with SCAN was carried out for TlCd2Au2 at its PBEsol-relaxed geometry.

POSCAR file:
```
TlCd2Au2
1.0
-2.972 2.569 -1.018
0.938 -0.469 -3.920
-3.224 -6.118 2.060
Cd Au Tl
2 2 1
Cartesian
-1.652 -2.768 -2.165
-3.606 -1.249 -0.713
-3.381 -4.040 -0.326
-1.877 0.022 -2.552
0.000 0.000 0.000
```

Values from the calculation:
D(E_F) in states/eV/atom: 0.362
Total energy in eV/atom: -54.4117
ΔH_f (0 K) in eV per atom: -0.112
SG: No. 139
Mass density in g cm⁻³: 12.54

[23]
A plane-wave DFT calculation with SCAN was carried out for ZrSeIN2 at its PBEsol-relaxed geometry.

POSCAR file:
```
ZrSeIN2
1.0
-0.502 4.033 0.553
-3.751 -0.242 -1.640
-2.420 -1.081 5.696
N I Zr Se
2 1 1 1
Cartesian
-1.876 -0.121 -0.820
-0.251 2.016 0.276
-1.210 -0.541 2.848
0.000 0.000 0.000
-3.337 1.355 2.304
```

Values from the calculation:
D(E_F) in states/eV/atom: 0.551
Total energy in eV/atom: -20.7458
SG: No. 123
Mass density in g cm⁻³: 5.11

[24]
A plane-wave DFT calculation with SCAN was carried out for BeP4Ru at its PBEsol-relaxed geometry.

POSCAR file:
```
BeP4Ru
1.0
4.814 0.000 0.000
2.407 4.169 0.000
2.407 1.390 3.931
P Ru Be
4 1 1
Cartesian
4.814 2.780 3.461
6.036 2.075 1.467
4.814 4.190 1.467
3.593 2.075 1.467
7.222 4.169 2.948
0.000 0.000 0.000
```

Values from the calculation:
D(E_F) in states/eV/atom: 0.436
Total energy in eV/atom: -12.4618
ΔH_f (0 K) in eV per atom: 1.001
SG: No. 216
Mass density in g cm⁻³: 4.92

[25]
A plane-wave DFT calculation with SCAN was carried out for ScAgPt2 at its PBEsol-relaxed geometry.

POSCAR file:
```
ScAgPt2
1.0
2.938 0.000 0.000
1.469 2.545 0.000
1.469 0.848 8.826
Ag Sc Pt
1 1 2
Cartesian
0.000 0.000 0.000
2.938 1.696 4.413
1.469 0.848 2.322
4.407 2.545 6.504
```

Values from the calculation:
D(E_F) in states/eV/atom: 0.458
Total energy in eV/atom: -46.9996
ΔH_f (0 K) in eV per atom: -0.502
SG: No. 166
Mass density in g cm⁻³: 13.66

[26]
A plane-wave DFT calculation with SCAN was carried out for HgIBr2 at its PBEsol-relaxed geometry.

POSCAR file:
```
HgIBr2
1.0
-0.339 -2.676 -2.514
-2.133 -2.926 0.698
-9.576 3.445 -5.079
Br I Hg
2 1 1
Cartesian
-4.353 -4.460 -2.778
-7.695 2.303 -4.117
-6.024 -1.079 -3.448
0.000 0.000 0.000
```

Values from the calculation:
D(E_F) in states/eV/atom: 0.594
Total energy in eV/atom: -35.9750
SG: No. 166
Mass density in g cm⁻³: 6.15

[27]
A plane-wave DFT calculation with SCAN was carried out for BeCd2Si at its PBEsol-relaxed geometry.

POSCAR file:
```
BeCd2Si
1.0
-1.968 -1.974 0.587
1.163 -1.095 -6.701
2.510 -1.936 1.906
Cd Si Be
2 1 1
Cartesian
1.199 -3.930 -2.286
0.506 -1.075 -1.922
1.255 -0.968 0.953
-0.984 -0.987 0.293
```

Values from the calculation:
D(E_F) in states/eV/atom: 0.309
Total energy in eV/atom: -18.4960
SG: No. 12
Mass density in g cm⁻³: 6.44

[28]
A plane-wave DFT calculation with SCAN was carried out for ZrZnCr2 at its PBEsol-relaxed geometry.

POSCAR file:
```
ZrZnCr2
1.0
-0.256 -2.068 -2.276
3.174 -2.610 2.013
-3.872 -0.170 2.682
Cr Zn Zr
2 1 1
Cartesian
-1.019 -1.473 1.453
0.065 -3.374 0.966
1.587 -1.305 1.007
-0.128 -1.034 -1.138
```

Values from the calculation:
D(E_F) in states/eV/atom: 0.987
Total energy in eV/atom: -19.9613
ΔH_f (0 K) in eV per atom: 0.285
SG: No. 12
Mass density in g cm⁻³: 7.25